No. 1
# PBE Rb3DyF6, optimized geometry
# Energy (eV/atom): -5.129
# Volume (Å³ per atom): 20.4
data_Rb3DyF6
_chemical_formula_sum 'Rb12 Dy4 F24'
_symmetry_space_group_name_H-M 'F m -3 m'
_symmetry_Int_Tables_number 225
_symmetry_space_group_name_Hall '-F 4 2 3'
_cell_length_a 9.346
_cell_length_b 9.346
_cell_length_c 9.346
_cell_angle_alpha 90.00
_cell_angle_beta 90.00
_cell_angle_gamma 90.00
loop_
_atom_site_label
_atom_site_type_symbol
_atom_site_fract_x
_atom_site_fract_y
_atom_site_fract_z
Rb1 Rb 0.000 0.000 0.000
Rb2 Rb 0.250 0.250 0.250
Dy1 Dy 0.000 0.000 0.500
F1 F 0.000 0.000 0.271

***

No. 2
# PBE CoTePd, optimized geometry
# Energy (eV/atom): -5.180
# Volume (Å³ per atom): 17.8
data_CoTePd
_chemical_formula_sum 'Co4 Te4 Pd4'
_symmetry_space_group_name_H-M 'F -4 3 m'
_symmetry_Int_Tables_number 216
_symmetry_space_group_name_Hall 'F -4 2 3'
_cell_length_a 5.978
_cell_length_b 5.978
_cell_length_c 5.978
_cell_angle_alpha 90.00
_cell_angle_beta 90.00
_cell_angle_gamma 90.00
loop_
_atom_site_label
_atom_site_type_symbol
_atom_site_fract_x
_atom_site_fract_y
_atom_site_fract_z
Co1 Co 0.000 0.000 0.000
Te1 Te 0.250 0.250 0.250
Pd1 Pd 0.250 0.250 0.750

***

No. 3
# PBE YLu2Al7Cu2, optimized geometry
# Energy (eV/atom): -4.569
# Volume (Å³ per atom): 18.0
data_YLu2Al7Cu2
_chemical_formula_sum 'Y3 Lu6 Al21 Cu6'
_symmetry_space_group_name_H-M 'R -3 m'
_symmetry_Int_Tables_number 166
_symmetry_space_group_name_Hall '-R 3 2"'
_cell_length_a 5.4400
_cell_length_b 5.4400
_cell_length_c 25.2753
_cell_angle_alpha 90.00
_cell_angle_beta 90.00
_cell_angle_gamma 120.00
loop_
_atom_site_label
_atom_site_type_symbol
_atom_site_fract_x
_atom_site_fract_y
_atom_site_fract_z
Y1 Y 0.0000 0.0000 0.0000
Lu1 Lu 0.0000 0.0000 0.1424
Al1 Al 0.0000 0.0000 0.5000
Al2 Al 0.0061 0.5030 0.9206
Cu1 Cu 0.0000 0.0000 0.3351

***

No. 4
# PBE GdMgTl2, optimized geometry
# Energy (eV/atom): -3.016
# Volume (Å³ per atom): 25.5
data_GdMgTl2
_chemical_formula_sum 'Gd1 Mg1 Tl2'
_symmetry_space_group_name_H-M 'P 4/m m m'
_symmetry_Int_Tables_number 123
_symmetry_space_group_name_Hall '-P 4 2'
_cell_length_a 4.804
_cell_length_b 4.804
_cell_length_c 4.423
_cell_angle_alpha 90.00
_cell_angle_beta 90.00
_cell_angle_gamma 90.00
loop_
_atom_site_label
_atom_site_type_symbol
_atom_site_fract_x
_atom_site_fract_y
_atom_site_fract_z
Gd1 Gd 0.000 0.000 0.000
Mg1 Mg 0.500 0.500 0.000
Tl1 Tl 0.000 0.500 0.500

***

No. 5
# PBE NdHfTl, optimized geometry
# Energy (eV/atom): -5.309
# Volume (Å³ per atom): 30.2
data_NdHfTl
_chemical_formula_sum 'Nd4 Hf4 Tl4'
_symmetry_space_group_name_H-M 'F -4 3 m'
_symmetry_Int_Tables_number 216
_symmetry_space_group_name_Hall 'F -4 2 3'
_cell_length_a 7.133
_cell_length_b 7.133
_cell_length_c 7.133
_cell_angle_alpha 90.00
_cell_angle_beta 90.00
_cell_angle_gamma 90.00
loop_
_atom_site_label
_atom_site_type_symbol
_atom_site_fract_x
_atom_site_fract_y
_atom_site_fract_z
Nd1 Nd 0.000 0.000 0.000
Hf1 Hf 0.000 0.000 0.500
Tl1 Tl 0.250 0.250 0.750

***

No. 6
# PBE K4Zn2SnGe, optimized geometry
# Energy (eV/atom): -2.113
# Volume (Å³ per atom): 33.9
data_K4Zn2SnGe
_chemical_formula_sum 'K8 Zn4 Sn2 Ge2'
_symmetry_space_group_name_H-M 'A m m 2'
_symmetry_Int_Tables_number 38
_cell_length_a 6.274
_cell_length_b 10.715
_cell_length_c 8.063
_cell_angle_alpha 90.00
_cell_angle_beta 90.00
_cell_angle_gamma 90.00
loop_
_symmetry_equiv_pos_as_xyz
'x,y,z'
'-x,-y,z'
'-x,y,z'
'x,-y,z'
'x,y+1/2,z+1/2'
'-x,-y+1/2,z+1/2'
'-x,y+1/2,z+1/2'
'x,-y+1/2,z+1/2'
loop_
_atom_site_label
_atom_site_type_symbol
_atom_site_fract_x
_atom_site_fract_y
_atom_site_fract_z
K1 K 0.000 0.169 0.000
K2 K 0.500 0.173 0.290
Zn1 Zn 0.261 0.000 0.654
Sn1 Sn 0.000 0.000 0.399
Ge1 Ge 0.500 0.000 0.894